--- a ---
Entry from Alexandria: crystalline CaCrH2 at its relaxed geometry (PBE).

a b c (Å): 4.999 4.999 4.999
angles (deg): 119.42 119.42 91.00
Atoms (fractional coordinates):
1 Ca 0.000 0.000 0.000
2 Ca 0.750 0.250 0.500
3 Cr 0.250 0.750 0.500
4 Cr 0.500 0.500 0.000
5 H 0.213 0.125 0.588
6 H 0.375 0.787 0.912
7 H 0.537 0.625 0.412
8 H 0.875 0.463 0.088

Summary:
Density ... 3.5 g/cm3

=====

--- b ---
Entry from Alexandria: crystalline CaCrH2 at its relaxed geometry (PBE).

a b c (Å): 4.247 4.247 4.247
angles (deg): 60.00 60.00 60.00
Atoms (fractional coordinates):
1 Ca 0.000 0.000 0.000
2 Cr 0.500 0.500 0.500
3 H 0.250 0.250 0.250
4 H 0.750 0.750 0.750

Summary:
Density ... 2.9 g/cm3

=====

Which is most stable, and by how much? a, by 275 meV/atom.

=====

--- a ---
Entry from Alexandria: crystalline CaCr2H at its relaxed geometry (PBE).

a b c (Å): 4.825 4.825 4.825
angles (deg): 60.00 60.00 60.00
Atoms (fractional coordinates):
1 Ca 0.000 0.000 0.000
2 Cr 0.250 0.250 0.250
3 Cr 0.750 0.750 0.750
4 H 0.500 0.500 0.500

Summary:
Density ... 3.0 g/cm3

=====

--- b ---
Entry from Alexandria: crystalline CaCr2H at its relaxed geometry (PBE).

a b c (Å): 5.431 5.431 5.431
angles (deg): 60.00 60.00 60.00
Atoms (fractional coordinates):
1 Ca 0.125 0.125 0.125
2 Ca 0.875 0.875 0.875
3 Cr 0.000 0.500 0.500
4 Cr 0.500 0.000 0.500
5 Cr 0.500 0.500 0.000
6 Cr 0.500 0.500 0.500
7 H 0.375 0.375 0.375
8 H 0.625 0.625 0.625

Summary:
Density ... 4.3 g/cm3

=====

Which is most stable, and by how much? b, by 873 meV/atom.

=====

--- a ---
Entry from Alexandria: crystalline Ca3HfCr at its relaxed geometry (PBE).

a b c (Å): 5.307 5.307 5.307
angles (deg): 90.00 90.00 90.00
Atoms (fractional coordinates):
1 Ca 0.000 0.000 0.500
2 Ca 0.000 0.500 0.000
3 Ca 0.500 0.000 0.000
4 Hf 0.500 0.500 0.500
5 Cr 0.000 0.000 0.000

Summary:
Density ... 3.9 g/cm3

=====

--- b ---
Entry from Alexandria: crystalline Ca3HfCr at its relaxed geometry (PBE).

a b c (Å): 5.885 5.885 5.885
angles (deg): 90.00 90.00 90.00
Atoms (fractional coordinates):
1 Ca 0.000 0.000 0.500
2 Ca 0.000 0.500 0.000
3 Ca 0.500 0.000 0.000
4 Hf 0.000 0.000 0.000
5 Cr 0.500 0.500 0.500

Summary:
Density ... 2.9 g/cm3

=====

Which is most stable, and by how much? a, by 76 meV/atom.

=====

--- a ---
Entry from Alexandria: crystalline Ca2CrHg2 at its relaxed geometry (PBE).

a b c (Å): 9.024 9.024 9.024
angles (deg): 153.03 153.03 38.50
Atoms (fractional coordinates):
1 Ca 0.104 0.104 0.000
2 Ca 0.896 0.896 0.000
3 Cr 0.500 0.500 0.000
4 Hg 0.250 0.750 0.500
5 Hg 0.750 0.250 0.500

Summary:
Density ... 5.9 g/cm3

=====

--- b ---
Entry from Alexandria: crystalline Ca2CrHg2 at its relaxed geometry (PBE).

a b c (Å): 8.680 8.680 3.641
angles (deg): 90.00 90.00 90.00
Atoms (fractional coordinates):
1 Ca 0.151 0.349 0.000
2 Ca 0.349 0.849 0.000
3 Ca 0.651 0.151 0.000
4 Ca 0.849 0.651 0.000
5 Cr 0.000 0.000 0.000
6 Cr 0.500 0.500 0.000
7 Hg 0.146 0.646 0.500
8 Hg 0.354 0.146 0.500
9 Hg 0.646 0.854 0.500
10 Hg 0.854 0.354 0.500

Summary:
Density ... 6.5 g/cm3

=====

Which is most stable, and by how much? b, by 75 meV/atom.

=====

--- a ---
Entry from Alexandria: crystalline CaCr3Hg at its relaxed geometry (PBE).

a b c (Å): 4.926 4.926 4.926
angles (deg): 90.00 90.00 90.00
Atoms (fractional coordinates):
1 Ca 0.000 0.000 0.000
2 Cr 0.000 0.000 0.500
3 Cr 0.000 0.500 0.000
4 Cr 0.500 0.000 0.000
5 Hg 0.500 0.500 0.500

Summary:
Density ... 5.5 g/cm3

=====

--- b ---
Entry from Alexandria: crystalline CaCr3Hg at its relaxed geometry (PBE).

a b c (Å): 5.197 5.197 5.197
angles (deg): 90.00 90.00 90.00
Atoms (fractional coordinates):
1 Ca 0.000 0.000 0.000
2 Cr 0.000 0.500 0.500
3 Cr 0.500 0.000 0.500
4 Cr 0.500 0.500 0.000
5 Hg 0.500 0.500 0.500

Summary:
Density ... 4.7 g/cm3

=====

Which is most stable, and by how much? b, by 884 meV/atom.

=====

--- a ---
Entry from Alexandria: crystalline Ca2CrI2 at its relaxed geometry (PBE).

a b c (Å): 6.273 6.273 6.273
angles (deg): 119.21 119.21 91.38
Atoms (fractional coordinates):
1 Ca 0.250 0.750 0.500
2 Ca 0.750 0.250 0.500
3 Cr 0.000 0.000 0.000
4 I 0.299 0.299 0.000
5 I 0.701 0.701 0.000

Summary:
Density ... 3.6 g/cm3

=====

--- b ---
Entry from Alexandria: crystalline Ca2CrI2 at its relaxed geometry (PBE).

a b c (Å): 8.941 8.941 3.874
angles (deg): 90.00 90.00 90.00
Atoms (fractional coordinates):
1 Ca 0.163 0.337 0.000
2 Ca 0.337 0.837 0.000
3 Ca 0.663 0.163 0.000
4 Ca 0.837 0.663 0.000
5 Cr 0.000 0.000 0.500
6 Cr 0.500 0.500 0.500
7 I 0.139 0.639 0.500
8 I 0.361 0.139 0.500
9 I 0.639 0.861 0.500
10 I 0.861 0.361 0.500

Summary:
Density ... 4.1 g/cm3

=====

Which is most stable, and by how much? b, by 81 meV/atom.